Record 1
Entry from the Alexandria database: an optimized crystal structure of Be2RhSe (PBE).

**Space-group type**: No. 99
**Density of states at the Fermi level**: 1.85 states/eV/cell
**Magnetization**: 0.0 μB per cell
**Formation energy from raw total energies**: -93 meV/atom

a = 3.046 Å, b = 3.049 Å, c = 5.574 Å
α = 90.00°, β = 90.00°, γ = 90.00°
Fractional positions:
Be (0.000, 0.000, 0.024)
Se (0.500, 0.500, 0.813)
Rh (0.000, 0.000, 0.417)
Be (0.500, 0.500, 0.246)

Record 2
Entry from the Alexandria database: an optimized crystal structure of Be2RhSe (PBE).

**Space-group type**: No. 47
**Density of states at the Fermi level**: 1.09 states/eV/cell
**Magnetization**: 0.0 μB per cell
**Formation energy from raw total energies**: -191 meV/atom

a = 2.892 Å, b = 2.835 Å, c = 6.599 Å
α = 89.97°, β = 90.00°, γ = 90.00°
Fractional positions:
Be (0.000, 0.750, 0.428)
Be (0.000, 0.750, 0.072)
Se (0.500, 0.750, 0.750)
Rh (0.500, 0.250, 0.250)

Record 3
Entry from the Alexandria database: an optimized crystal structure of Be2RhSe (PBE).

**Space-group type**: No. 8
**Density of states at the Fermi level**: 1.16 states/eV/cell
**Magnetization**: 0.0 μB per cell
**Formation energy from raw total energies**: -151 meV/atom

a = 4.030 Å, b = 4.030 Å, c = 5.357 Å
α = 95.91°, β = 95.91°, γ = 42.49°
Fractional positions:
Be (0.929, 0.929, 0.107)
Rh (0.519, 0.519, 0.412)
Se (0.829, 0.829, 0.708)
Be (0.223, 0.223, 0.273)

Record 4
Entry from the Alexandria database: an optimized crystal structure of BeRh3Se (PBE).

**Space-group type**: No. 221
**Density of states at the Fermi level**: 5.67 states/eV/cell
**Energy above the most stable polymorph in this dataset**: 418 meV per atom
**Magnetization**: 0.0 μB per cell
**Formation energy from raw total energies**: 747 meV/atom

a = 4.513 Å, b = 4.513 Å, c = 4.513 Å
α = 90.00°, β = 90.00°, γ = 90.00°
Fractional positions:
Rh (0.000, 0.000, 0.500)
Rh (0.000, 0.500, 0.000)
Be (0.500, 0.500, 0.500)
Rh (0.500, 0.000, 0.000)
Se (0.000, 0.000, 0.000)

Record 5
Entry from the Alexandria database: an optimized crystal structure of Be2RhSe (PBE).

**Space-group type**: No. 65
**Density of states at the Fermi level**: 1.91 states/eV/cell
**Magnetization**: 0.0 μB per cell
**Formation energy from raw total energies**: -33 meV/atom

a = 3.938 Å, b = 3.938 Å, c = 3.190 Å
α = 90.00°, β = 90.00°, γ = 91.56°
Fractional positions:
Rh (0.500, 0.000, 0.500)
Be (0.000, 0.000, 0.000)
Se (0.000, 0.500, 0.500)
Be (0.500, 0.500, 0.000)

Record 6
Entry from the Alexandria database: an optimized crystal structure of Be2RhSe (PBE).

**Space-group type**: No. 12
**Density of states at the Fermi level**: 1.59 states/eV/cell
**Magnetization**: 0.0 μB per cell
**Formation energy from raw total energies**: 107 meV/atom

a = 4.797 Å, b = 4.797 Å, c = 3.071 Å
α = 70.42°, β = 70.42°, γ = 112.10°
Fractional positions:
Be (0.500, 0.500, 0.000)
Be (0.000, 0.000, 0.000)
Se (0.000, 0.500, 0.500)
Rh (0.500, 0.000, 0.500)

Record 7
Entry from the Alexandria database: an optimized crystal structure of BeRhSe (PBE).

**Space-group type**: No. 187
**Density of states at the Fermi level**: 1.44 states/eV/cell
**Energy above the most stable polymorph in this dataset**: 155 meV per atom
**Magnetization**: 0.0 μB per cell
**Formation energy from raw total energies**: 37 meV/atom

a = 3.879 Å, b = 3.879 Å, c = 3.332 Å
α = 90.00°, β = 90.00°, γ = 120.00°
Fractional positions:
Rh (0.667, 0.333, 0.167)
Be (0.000, 0.000, 0.167)
Se (0.333, 0.667, 0.666)

Record 8
Entry from the Alexandria database: an optimized crystal structure of Be2RhSe (PBE).

**Space-group type**: No. 216
**Density of states at the Fermi level**: 2.08 states/eV/cell
**Magnetization**: 0.0 μB per cell
**Formation energy from raw total energies**: 227 meV/atom

a = 4.167 Å, b = 4.167 Å, c = 4.167 Å
α = 60.00°, β = 60.00°, γ = 60.00°
Fractional positions:
Se (0.250, 0.250, 0.250)
Be (0.000, 0.000, 0.000)
Be (0.750, 0.750, 0.750)
Rh (0.500, 0.500, 0.500)